Here is a relaxed NdHo2Zn9 crystal from Alexandria via LeMat-Bulk. Energies are from PBE.

abc: 9.160 9.160 9.160
angles: 34.71 34.71 34.71
Positions (direct):
Nd 0.000 0.000 0.000
Ho 0.141 0.141 0.141
Ho 0.859 0.859 0.859
Zn 0.077 0.587 0.587
Zn 0.335 0.335 0.335
Zn 0.413 0.413 0.923
Zn 0.413 0.923 0.413
Zn 0.500 0.500 0.500
Zn 0.587 0.077 0.587
Zn 0.587 0.587 0.077
Zn 0.665 0.665 0.665
Zn 0.923 0.413 0.413

## Properties
ΔH_f (0 K), eV/atom: -0.320
Space-group type: R-3m (166)
Total energy, eV for the cell shown: -29.23
DOS(E_F), states/eV per cell: 7.3